No. 1
Compound: YSiAu2
Source: Alexandria
Functional: PBEsol
Structure: relaxed

a b c (Å): 6.6739 6.6739 6.6739
angles (deg): 90.00 90.00 90.00
Last column: nearest neighbours and their distance in Å.
Space group F-43m (No. 216)
Unique sites:
Y 0.0000 0.0000 0.0000 x4  4 Si 2.89, 4 Au 2.89
Si 0.2500 0.2500 0.2500 x4  4 Y 2.89, 4 Au 2.89
Au 0.0000 0.0000 0.5000 x4  4 Si 2.89, 4 Au 2.89
Au 0.2500 0.2500 0.7500 x4  4 Y 2.89, 4 Au 2.89

Output
The value obtained for the raw total energy is -5.57 eV/atom.

***

No. 2
Compound: YSi2Au
Source: Alexandria
Functional: PBEsol
Structure: relaxed

a b c (Å): 4.2289 4.2289 3.9657
angles (deg): 90.00 90.00 90.00
Last column: nearest neighbours and their distance in Å.
Space group P4/mmm (No. 123)
Unique sites:
Y 0.0000 0.0000 0.0000 x1  8 Si 2.90, 4 Au 2.99
Si 0.0000 0.5000 0.5000 x2  4 Au 2.90, 4 Y 2.90, 4 Si 2.99
Au 0.5000 0.5000 0.0000 x1  8 Si 2.90, 4 Y 2.99

Output
The value obtained for the raw total energy is -6.01 eV/atom.

***

No. 3
Compound: YSi2Au
Source: Alexandria
Functional: PBEsol
Structure: relaxed

a b c (Å): 3.3892 3.3892 6.2849
angles (deg): 90.00 90.00 90.00
Last column: nearest neighbours and their distance in Å.
Space group P4mm (No. 99)
Unique sites:
Y 0.0000 0.0000 0.0000 x1  6 Si 2.98-3.30, 4 Au 3.08
Si 0.0000 0.0000 0.5253 x1  4 Si 2.67, 4 Au 2.76, 1 Y 2.98
Si 0.5000 0.5000 0.7121 x1  1 Au 2.53, 4 Si 2.67
Au 0.5000 0.5000 0.3088 x1  5 Si 2.53-2.76

Output
The value obtained for the raw total energy is -5.92 eV/atom.

***

No. 4
Compound: YSiAu
Source: Alexandria
Functional: PBEsol
Structure: relaxed

a b c (Å): 4.2321 4.2321 7.7422
angles (deg): 90.00 90.00 120.00
Last column: nearest neighbours and their distance in Å.
Space group P6_3/mmc (No. 194)
Unique sites:
Y 0.0000 0.0000 0.0000 x2  6 Si 3.12, 6 Au 3.12
Si 0.3333 0.6667 0.2500 x2  3 Au 2.44
Au 0.3333 0.6667 0.7500 x2  3 Si 2.44

Output
The value obtained for the raw total energy is -6.40 eV/atom.

***

No. 5
Compound: Y2Si2Au
Source: Alexandria
Functional: PBEsol
Structure: relaxed

a b c (Å): 6.7602 6.7602 4.2971
angles (deg): 90.00 90.00 90.00
Last column: nearest neighbours and their distance in Å.
Space group P4/mbm (No. 127)
Unique sites:
Y 0.1741 0.3259 0.0000 x4  6 Si 2.88-2.97
Si 0.1257 0.6257 0.5000 x4  1 Si 2.40, 2 Au 2.67
Au 0.0000 0.0000 0.5000 x2  4 Si 2.67

Output
The value obtained for the raw total energy is -6.69 eV/atom.

***

No. 6
Compound: YSiAu2
Source: Alexandria
Functional: PBEsol
Structure: relaxed

a b c (Å): 4.3225 4.3225 8.0478
angles (deg): 90.00 90.00 90.00
Last column: nearest neighbours and their distance in Å.
Space group I4/mmm (No. 139)
Unique sites:
Y 0.0000 0.0000 0.0000 x2  8 Au 2.95, 4 Si 3.06
Si 0.0000 0.0000 0.5000 x2  8 Au 2.95, 4 Y 3.06
Au 0.0000 0.5000 0.2500 x4  4 Y 2.95, 4 Si 2.95, 4 Au 3.06

Output
The value obtained for the raw total energy is -5.64 eV/atom.

***

No. 7
Compound: ZnSi2Au
Source: Alexandria
Functional: PBEsol
Structure: relaxed

a b c (Å): 5.0993 7.2884 3.4273
angles (deg): 90.00 90.00 90.00
Last column: nearest neighbours and their distance in Å.
Space group Cmmm (No. 65)
Unique sites:
Zn 0.0000 0.0000 0.0000 x2  2 Au 2.55, 8 Si 2.81
Si 0.2500 0.2500 0.5000 x4  2 Si 2.55, 4 Zn 2.81, 4 Au 2.81
Au 0.0000 0.5000 0.0000 x2  2 Zn 2.55, 8 Si 2.81

Output
The value obtained for the raw total energy is -4.03 eV/atom.

***

No. 8
Compound: Zn3SiAu
Source: Alexandria
Functional: PBEsol
Structure: relaxed

a b c (Å): 4.5871 4.5871 4.5871
angles (deg): 90.00 90.00 90.00
Last column: nearest neighbours and their distance in Å.
Space group Pm-3m (No. 221)
Unique sites:
Zn 0.0000 0.0000 0.5000 x3  2 Si 2.29
Si 0.0000 0.0000 0.0000 x1  6 Zn 2.29
Au 0.5000 0.5000 0.5000 x1  12 Zn 3.24

Output
The value obtained for the raw total energy is -2.38 eV/atom.

***

No. 9
Compound: ZnSi2Au
Source: Alexandria
Functional: PBEsol
Structure: relaxed

a b c (Å): 2.8624 2.8624 7.6509
angles (deg): 90.00 90.00 90.00
Last column: nearest neighbours and their distance in Å.
Space group P4/mmm (No. 123)
Unique sites:
Zn 0.0000 0.0000 0.0000 x1  8 Si 2.78, 4 Zn 2.86
Si 0.5000 0.5000 0.2495 x2  4 Zn 2.78, 4 Au 2.79, 4 Si 2.86
Au 0.0000 0.0000 0.5000 x1  8 Si 2.79, 4 Au 2.86

Output
The value obtained for the raw total energy is -3.98 eV/atom.

***

No. 10
Compound: ZnSi2Au
Source: Alexandria
Functional: PBEsol
Structure: relaxed

a b c (Å): 2.6542 4.7811 4.9088
angles (deg): 90.00 90.00 90.00
Last column: nearest neighbours and their distance in Å.
Space group Pmmm (No. 47)
Unique sites:
Zn 0.0000 0.0000 0.0000 x1  2 Zn 2.65, 4 Au 2.73, 4 Si 2.79
Si 0.0000 0.5000 0.5000 x1  6 Si 2.65-2.73, 4 Au 2.79
Si 0.5000 0.0000 0.5000 x1  6 Si 2.65-2.73, 4 Zn 2.79
Au 0.5000 0.5000 0.0000 x1  2 Au 2.65, 4 Zn 2.73, 4 Si 2.79

Output
The value obtained for the raw total energy is -4.04 eV/atom.

***

No. 11
Compound: ZrSi2Au
Source: Alexandria
Functional: PBEsol
Structure: relaxed

a b c (Å): 3.0074 3.0074 25.7611
angles (deg): 90.00 90.00 120.00
Last column: nearest neighbours and their distance in Å.
Space group R-3m (No. 166, hexagonal axes)
Unique sites:
Zr 0.0000 0.0000 0.0000 x3  6 Si 2.85, 6 Zr 3.01
Si 0.0000 0.0000 0.2457 x6  3 Au 2.67, 3 Zr 2.85
Au 0.0000 0.0000 0.5000 x3  6 Si 2.67

Output
The value obtained for the raw total energy is -6.19 eV/atom.

***

No. 12
Compound: Zr2SiAu
Source: Alexandria
Functional: PBEsol
Structure: relaxed

a b c (Å): 4.3171 4.3171 7.7888
angles (deg): 90.00 90.00 90.00
Last column: nearest neighbours and their distance in Å.
Space group I4/mmm (No. 139)
Unique sites:
Zr 0.0000 0.5000 0.2500 x4  4 Au 2.91, 4 Si 2.91, 4 Zr 3.05
Si 0.0000 0.0000 0.0000 x2  8 Zr 2.91, 4 Au 3.05
Au 0.0000 0.0000 0.5000 x2  8 Zr 2.91, 4 Si 3.05

Output
The value obtained for the raw total energy is -7.55 eV/atom.

***

No. 13
Compound: ZrSi2Au
Source: Alexandria
Functional: PBEsol
Structure: relaxed

a b c (Å): 3.1200 3.9749 5.4018
angles (deg): 90.00 90.00 90.00
Last column: nearest neighbours and their distance in Å.
Space group Pmmm (No. 47)
Unique sites:
Zr 0.0000 0.0000 0.0000 x1  8 Si 2.80, 4 Au 3.12, 2 Zr 3.12
Si 0.5000 0.5000 0.2249 x2  1 Si 2.43, 2 Au 2.48
Au 0.5000 0.0000 0.5000 x1  4 Si 2.48

Output
The value obtained for the raw total energy is -6.63 eV/atom.

***

No. 14
Compound: ZrSi2Au
Source: Alexandria
Functional: PBEsol
Structure: relaxed

a b c (Å): 3.7467 3.7467 9.2407
angles (deg): 90.00 90.00 90.00
Last column: nearest neighbours and their distance in Å.
Space group I-4m2 (No. 119)
Unique sites:
Zr 0.0000 0.0000 0.0000 x2  4 Si 2.65
Si 0.0000 0.0000 0.5000 x2  4 Zr 2.65
Si 0.0000 0.5000 0.7500 x2  4 Au 2.65
Au 0.0000 0.5000 0.2500 x2  4 Si 2.65

Output
The value obtained for the raw total energy is -6.62 eV/atom.

***

No. 15
Compound: SmAu3
Source: Alexandria
Functional: PBEsol
Structure: relaxed

a b c (Å): 5.0159 6.1807 5.1076
angles (deg): 90.00 90.00 90.00
Last column: nearest neighbours and their distance in Å.
Space group Pmmn (No. 59, origin choice 2)
Unique sites:
Sm 0.2500 0.2500 0.1561 x2  12 Au 3.00-3.09
Au 0.2500 0.5094 0.6606 x4  8 Au 2.89-3.21, 4 Sm 3.00-3.06
Au 0.2500 0.7500 0.1746 x2  8 Au 2.89-3.09, 4 Sm 3.02-3.09

Output
The formation energy is -0.69 eV per atom. The value obtained for the raw total energy is -4.90 eV/atom.

***

No. 16
Compound: SmAu6
Source: Alexandria
Functional: PBEsol
Structure: relaxed

a b c (Å): 10.3635 10.3635 9.7080
angles (deg): 90.00 90.00 90.00
Last column: nearest neighbours and their distance in Å.
Space group P4_2/ncm (No. 138, origin choice 2)
Unique sites:
Sm 0.0751 0.0751 0.2123 x8  12 Au 3.00-3.36
Au 0.0000 0.0000 0.5000 x4  6 Au 2.76-2.80, 2 Sm 3.00
Au 0.0131 0.6813 0.5788 x16  7 Au 2.75-2.93, 1 Sm 3.03
Au 0.1243 0.6991 0.8562 x16  9 Au 2.75-3.00
Au 0.1459 0.1459 0.6801 x8  8 Au 2.76-3.05, 2 Sm 3.00
Au 0.2500 0.2500 0.4353 x4  8 Au 2.82-2.91

Output
The formation energy is -0.43 eV per atom. The value obtained for the raw total energy is -4.52 eV/atom.

***

No. 17
Compound: Sm2Au
Source: Alexandria
Functional: PBEsol
Structure: relaxed

a b c (Å): 7.0740 4.9674 9.0497
angles (deg): 90.00 90.00 90.00
Last column: nearest neighbours and their distance in Å.
Space group Pnma (No. 62)
Unique sites:
Sm 0.0072 0.2500 0.1777 x4  3 Au 2.98-3.13
Sm 0.1548 0.2500 0.5844 x4  4 Au 2.93-3.06
Au 0.2413 0.2500 0.9043 x4  7 Sm 2.93-3.13

Output
The formation energy is -0.58 eV per atom. The value obtained for the raw total energy is -5.29 eV/atom.

***

No. 18
Compound: SmSnAu
Source: Alexandria
Functional: PBEsol
Structure: relaxed

a b c (Å): 4.6793 4.6793 7.4193
angles (deg): 90.00 90.00 120.00
Last column: nearest neighbours and their distance in Å.
Space group P6_3mc (No. 186)
Unique sites:
Sm 0.0000 0.0000 0.0000 x2  3 Au 3.01, 3 Sn 3.18
Sn 0.3333 0.6667 0.2751 x2  4 Au 2.79-3.00
Au 0.3333 0.6667 0.6801 x2  4 Sn 2.79-3.00, 3 Sm 3.01

Output
The formation energy is -0.88 eV per atom. The value obtained for the raw total energy is -5.31 eV/atom.

***

No. 19
Compound: SmSnAu
Source: Alexandria
Functional: PBEsol
Structure: relaxed

a b c (Å): 4.6615 4.6615 7.5278
angles (deg): 90.00 90.00 120.00
Last column: nearest neighbours and their distance in Å.
Space group P6_3/mmc (No. 194)
Unique sites:
Sm 0.0000 0.0000 0.0000 x2  6 Sn 3.28, 6 Au 3.28
Sn 0.3333 0.6667 0.2500 x2  3 Au 2.69
Au 0.3333 0.6667 0.7500 x2  3 Sn 2.69

Output
The formation energy is -0.80 eV per atom. The value obtained for the raw total energy is -5.23 eV/atom.

***

No. 20
Compound: SmSnAu
Source: Alexandria
Functional: PBEsol
Structure: relaxed

a b c (Å): 6.7110 6.7110 6.7110
angles (deg): 90.00 90.00 90.00
Last column: nearest neighbours and their distance in Å.
Space group F-43m (No. 216)
Unique sites:
Sm 0.0000 0.0000 0.0000 x4  4 Au 2.91
Sn 0.0000 0.0000 0.5000 x4  4 Au 2.91
Au 0.2500 0.2500 0.7500 x4  4 Sm 2.91, 4 Sn 2.91

Output
The formation energy is -0.89 eV per atom. The value obtained for the raw total energy is -5.32 eV/atom.